# 1
{
  "formula": "LaSm6Y3Tm2",
  "functional": "GGA-PBE",
  "state": "relaxed",
  "lattice": [[3.122, -5.406, 0.000], [3.122, 5.406, 0.000], [-2.079, 0.000, 11.731]],
  "species": ["La", "Sm", "Sm", "Sm", "Sm", "Sm", "Sm", "Y", "Y", "Y", "Tm", "Tm"],
  "fractional_positions": [[0.000, 0.000, 0.000], [0.084, 0.419, 0.250], [0.251, 0.251, 0.749], [0.419, 0.084, 0.250], [0.581, 0.916, 0.750], [0.749, 0.749, 0.251], [0.916, 0.581, 0.750], [0.167, 0.833, 0.500], [0.500, 0.500, 0.500], [0.833, 0.167, 0.500], [0.333, 0.667, 0.000], [0.667, 0.333, 0.000]],
  "delta_e_f_ev_per_atom": 0.02
}


# 2
{
  "formula": "Pm2CdIr",
  "functional": "GGA-PBE",
  "state": "relaxed",
  "lattice": [[3.610, 0.000, 0.000], [0.000, 3.610, 0.000], [0.000, 0.000, 7.710]],
  "species": ["Pm", "Pm", "Cd", "Ir"],
  "fractional_positions": [[0.000, 0.000, 0.216], [0.000, 0.000, 0.784], [0.500, 0.500, 0.500], [0.500, 0.500, 0.000]],
  "delta_e_f_ev_per_atom": -0.50
}


no.,total magnetic moment (μB per cell),Fermi-level density of states (states/eV/cell)
1,0.00,15.89
2,0.00,1.64